(i)
## LaOsBr2 (meta-GGA SCAN)

Data for LaOsBr2 at its PBEsol-relaxed geometry.

The structure in extended XYZ format:
```
4
Lattice="0.0000 3.2701 4.6360 3.1450 0.0000 4.6360 3.1450 3.2701 0.0000" Properties=species:S:1:pos:R:3 pbc="T T T"
La 0.0000 0.0000 0.0000
Os 3.1450 3.2701 4.6360
Br 3.1450 1.6350 2.3180
Br 0.0000 1.6350 2.3180
```

Summary:
- Magnetic moment: 1.2 μB per formula unit
- V: 95.4 Å³/f.u.

=====

(ii)
## LaOsBr2 (meta-GGA SCAN)

Data for LaOsBr2 at its PBEsol-relaxed geometry.

The structure in extended XYZ format:
```
4
Lattice="6.9808 -1.7883 0.0000 6.9808 1.7883 0.0000 -0.2267 0.0000 4.5588" Properties=species:S:1:pos:R:3 pbc="T T T"
La 0.0000 0.0000 0.0000
Os 6.8675 0.0000 2.2794
Br 4.6964 0.0000 1.1256
Br 9.0385 0.0000 3.4331
```

Summary:
- Magnetic moment: 0.0 μB per formula unit
- V: 113.8 Å³/f.u.

=====

What should be chosen as the least stable of them? Choose (i).

=====

(i)
## In2BrCl (meta-GGA SCAN)

Data for In2BrCl at its PBEsol-relaxed geometry.

The structure in extended XYZ format:
```
4
Lattice="5.9318 -2.1820 0.0000 5.9318 2.1820 0.0000 -0.0151 0.0000 4.4255" Properties=species:S:1:pos:R:3 pbc="T T T"
In 0.0000 0.0000 0.0000
In 2.4851 0.0000 2.2333
Br 8.8994 0.0000 0.0312
Cl 5.3134 0.0000 2.2509
```

Summary:
- Magnetic moment: 0.0 μB per formula unit
- V: 114.6 Å³/f.u.

=====

(ii)
## In2BrCl (meta-GGA SCAN)

Data for In2BrCl at its PBEsol-relaxed geometry.

The structure in extended XYZ format:
```
4
Lattice="4.2825 0.0000 0.0000 0.0000 4.2825 0.0000 0.0000 0.0000 6.5735" Properties=species:S:1:pos:R:3 pbc="T T T"
In 0.0000 0.0000 0.0000
In 2.1412 2.1412 2.8680
Br 0.0000 0.0000 3.6397
Cl 2.1412 2.1412 5.7673
```

Summary:
- Magnetic moment: 0.0 μB per formula unit
- V: 120.6 Å³/f.u.

=====

What should be chosen as the least stable of them? Choose (ii).

=====

(i)
## LiNiP3O9 (meta-GGA SCAN)

Data for LiNiP3O9 at its PBEsol-relaxed geometry.

The structure in extended XYZ format:
```
14
Lattice="4.9576 2.8622 2.2960 -4.9576 2.8622 2.2960 0.0000 -5.7245 2.2960" Properties=species:S:1:pos:R:3 pbc="T T T"
Li 0.0000 0.0000 0.0000
Ni 0.0000 0.0000 2.5174
P -2.7202 0.8415 3.7978
P 0.6313 -2.7766 3.7978
P 2.0889 1.9350 3.7978
O -3.1758 -0.5004 3.0108
O -3.7079 1.9255 3.4582
O 0.1864 -4.1739 3.4582
O -0.3186 -1.6422 3.6081
O -1.2629 1.0970 3.6081
O 2.0213 -2.5001 3.0108
O 1.5815 0.5452 3.6081
O 1.1546 3.0005 3.0108
O 3.5215 2.2484 3.4582
```

Summary:
- Magnetic moment: 2.0 μB per formula unit
- V: 195.5 Å³/f.u.

=====

(ii)
## LiNiP3O9 (meta-GGA SCAN)

Data for LiNiP3O9 at its PBEsol-relaxed geometry.

The structure in extended XYZ format:
```
56
Lattice="9.2516 0.0000 0.0000 -3.1648 8.7623 0.0000 -2.5379 -4.2103 8.1944" Properties=species:S:1:pos:R:3 pbc="T T T"
Li -1.0619 1.9314 1.7004
Li -2.0447 3.5932 5.9408
Li 5.5937 0.9588 2.2536
Li 4.6109 2.6206 6.4939
Ni -1.1527 6.0796 4.2013
Ni 2.3158 0.1537 2.5786
Ni 1.2331 4.3983 5.6158
Ni 4.7017 -1.5277 3.9931
P -2.7022 0.6592 5.1813
P -2.4968 6.3045 1.3559
P -0.6763 -3.2658 7.4975
P 0.2274 1.3207 4.8019
P 0.9146 4.5574 2.3546
P 1.3439 7.0969 0.8907
P 2.2051 -2.5450 7.3037
P 2.6344 -0.0054 5.8397
P 3.3216 3.2313 3.3925
P 4.2253 7.8178 0.6969
P 6.0458 -1.7526 6.8385
P 6.2512 3.8928 3.0131
O -2.9946 -0.2088 6.4785
O -3.0436 2.0656 5.4739
O -1.7466 6.4398 0.1062
O -3.8867 4.3752 6.5317
O -1.6814 -2.1372 6.9672
O -2.3263 4.5807 4.1862
O -1.1238 0.4803 4.9614
O -1.8838 7.0023 2.5998
O -0.0576 3.4866 2.1661
O 1.6835 0.7615 0.7797
O 0.7772 1.0819 3.4279
O 0.6369 -2.3554 7.1826
O -1.6385 3.3278 7.7653
O 0.8900 5.5702 1.1411
O 0.0300 2.7266 5.2990
O 1.1150 0.4594 5.8577
O -0.5189 5.4226 6.0507
O 0.7086 5.3979 3.6789
O 2.8404 -0.8459 4.5155
O 4.0679 -0.8706 2.1437
O 2.4340 4.0926 2.3367
O 3.5189 1.8254 2.8954
O 2.6590 -1.0182 7.0533
O 5.1874 1.2242 0.4291
O 2.9121 6.9074 1.0117
O 2.7718 3.4701 4.7665
O 1.8655 3.7904 7.4146
O 3.6065 1.0654 6.0283
O 5.4328 -2.4503 5.5946
O 4.6728 4.0717 3.2329
O 5.8752 -0.0287 4.0081
O 5.2303 6.6891 1.2272
O 7.4356 0.1768 1.6627
O 5.2956 -1.8878 8.0881
O 6.5926 2.4864 2.7205
O 6.5436 4.7607 1.7158
```

Summary:
- Magnetic moment: 2.0 μB per formula unit
- V: 166.1 Å³/f.u.

=====

What should be chosen as the least stable of them? Choose (ii).

=====

(i)
## Zn2CrIr (meta-GGA SCAN)

Data for Zn2CrIr at its PBEsol-relaxed geometry.

The structure in extended XYZ format:
```
4
Lattice="2.6945 0.0000 0.0000 0.0000 4.3594 0.0000 -0.3940 0.0000 4.6137" Properties=species:S:1:pos:R:3 pbc="T T T"
Zn 0.5221 0.0000 1.1485
Zn 1.7784 0.0000 3.4653
Cr 1.3473 2.1797 0.0000
Ir -0.1970 2.1797 2.3069
```

Summary:
- Magnetic moment: 3.1 μB per formula unit
- V: 54.2 Å³/f.u.

=====

(ii)
## Zn2CrIr (meta-GGA SCAN)

Data for Zn2CrIr at its PBEsol-relaxed geometry.

The structure in extended XYZ format:
```
4
Lattice="1.3407 0.7741 8.4690 -1.3407 0.7741 8.4690 0.0000 -1.5481 8.4690" Properties=species:S:1:pos:R:3 pbc="T T T"
Zn 0.0000 0.0000 6.3217
Zn 0.0000 0.0000 19.0853
Cr 0.0000 0.0000 12.7035
Ir 0.0000 0.0000 0.0000
```

Summary:
- Magnetic moment: 0.0 μB per formula unit
- V: 52.7 Å³/f.u.

=====

What should be chosen as the least stable of them? Choose (ii).

=====

(i)
## CuIr2Cl (meta-GGA SCAN)

Data for CuIr2Cl at its PBEsol-relaxed geometry.

The structure in extended XYZ format:
```
4
Lattice="2.7990 0.0000 0.0000 0.0000 4.3693 0.0000 -0.1863 0.0000 4.6494" Properties=species:S:1:pos:R:3 pbc="T T T"
Cu 0.0000 0.0000 0.0000
Ir 0.7048 2.1847 1.1245
Ir 1.9078 2.1847 3.5250
Cl 1.3063 0.0000 2.3247
```

Summary:
- Magnetic moment: 0.0 μB per formula unit
- V: 56.9 Å³/f.u.

=====

(ii)
## CuIr2Cl (meta-GGA SCAN)

Data for CuIr2Cl at its PBEsol-relaxed geometry.

The structure in extended XYZ format:
```
4
Lattice="2.7906 0.0000 0.0000 0.0000 2.7906 0.0000 0.0000 0.0000 7.4003" Properties=species:S:1:pos:R:3 pbc="T T T"
Cu 0.0000 0.0000 0.0000
Ir 0.0000 0.0000 3.4782
Ir 1.3953 1.3953 1.7486
Cl 1.3953 1.3953 5.4608
```

Summary:
- Magnetic moment: 0.0 μB per formula unit
- V: 57.6 Å³/f.u.

=====

What should be chosen as the least stable of them? Choose (i).

=====

(i)
## LiSc (meta-GGA SCAN)

Data for LiSc at its PBEsol-relaxed geometry.

The structure in extended XYZ format:
```
4
Lattice="3.1128 0.0000 0.0000 0.0000 3.1128 0.0000 0.0000 0.0000 9.2266" Properties=species:S:1:pos:R:3 pbc="T T T"
Li 0.7782 0.7782 1.0664
Li 2.3346 2.3346 8.1601
Sc 0.7782 0.7782 5.7494
Sc 2.3346 2.3346 3.4771
```

Summary:
- Magnetic moment: 0.8 μB per formula unit
- V: 44.7 Å³/f.u.

=====

(ii)
## LiSc (meta-GGA SCAN)

Data for LiSc at its PBEsol-relaxed geometry.

The structure in extended XYZ format:
```
4
Lattice="3.1960 0.0000 0.0000 -1.5980 2.7678 0.0000 0.0000 0.0000 10.0752" Properties=species:S:1:pos:R:3 pbc="T T T"
Li 0.0000 1.8452 1.2062
Li 1.5980 0.9226 8.8690
Sc 0.0000 1.8452 6.2827
Sc 1.5980 0.9226 3.7925
```

Summary:
- Magnetic moment: 0.7 μB per formula unit
- V: 44.6 Å³/f.u.

=====

What should be chosen as the least stable of them? Choose (i).